The following is a DFT calculation (GGA+U) of a relaxed K2BeCrO4 crystal.

Structure (CIF):
```
data_K2BeCrO4
_cell_length_a 4.6460
_cell_length_b 11.3938
_cell_length_c 20.1461
_cell_angle_alpha 90.00
_cell_angle_beta 90.00
_cell_angle_gamma 90.00
_space_group_name_H-M_alt 'F d d d'
_space_group_IT_number 70
loop_
_space_group_symop_operation_xyz
'x,y,z'
'-x,-y,-z'
'-x+1/4,-y+1/4,z'
'x+1/4,y+1/4,-z'
'x,-y+1/4,-z+1/4'
'-x,y+1/4,z+1/4'
'-x+1/4,y,-z+1/4'
'x+1/4,-y,z+1/4'
'x,y+1/2,z+1/2'
'-x,-y+1/2,-z+1/2'
'-x+1/4,-y+3/4,z+1/2'
'x+1/4,y+3/4,-z+1/2'
'x,-y+3/4,-z+3/4'
'-x,y+3/4,z+3/4'
'-x+1/4,y+1/2,-z+3/4'
'x+1/4,-y+1/2,z+3/4'
'x+1/2,y,z+1/2'
'-x+1/2,-y,-z+1/2'
'-x+3/4,-y+1/4,z+1/2'
'x+3/4,y+1/4,-z+1/2'
'x+1/2,-y+1/4,-z+3/4'
'-x+1/2,y+1/4,z+3/4'
'-x+3/4,y,-z+3/4'
'x+3/4,-y,z+3/4'
'x+1/2,y+1/2,z'
'-x+1/2,-y+1/2,-z'
'-x+3/4,-y+3/4,z'
'x+3/4,y+3/4,-z'
'x+1/2,-y+3/4,-z+1/4'
'-x+1/2,y+3/4,z+1/4'
'-x+3/4,y+1/2,-z+1/4'
'x+3/4,-y+1/2,z+1/4'
loop_
_atom_site_label
_atom_site_type_symbol
_atom_site_fract_x
_atom_site_fract_y
_atom_site_fract_z
_atom_site_occupancy
K1 K 0.1250 0.1250 0.2997 1
Be1 Be 0.1250 0.1250 0.6250 1
Cr1 Cr 0.1250 0.1250 0.1250 1
O1 O 0.1070 0.2926 0.8309 1
```

Output
Calculated volume (Å³/f.u.): 133.3
Uncorrected energy (Ha/atom): -0.2189